Entry 1
First-principles (PBE-GGA) data for an optimized crystal structure of Li2MnCuTe, as listed in the Alexandria database. Values from VASP.

```
&SYSTEM
  ibrav = 0, nat = 5, ntyp = 4
/
ATOMIC_SPECIES
Li 6.94 Li.upf
Mn 54.94 Mn.upf
Cu 63.55 Cu.upf
Te 127.60 Te.upf
ATOMIC_POSITIONS angstrom
Li 0.0000 2.4112 0.0000
Li 2.4112 0.0000 0.0000
Mn 0.0000 0.0000 0.0000
Cu 2.4112 2.4112 2.4051
Te 0.0000 0.0000 2.4051
CELL_PARAMETERS angstrom
4.8223 0.0000 0.0000
0.0000 4.8223 0.0000
0.0000 0.0000 4.8102
```

---

Entry 2
First-principles (PBE-GGA) data for an optimized crystal structure of Li2MnCuTe, as listed in the Alexandria database. Values from VASP.

```
&SYSTEM
  ibrav = 0, nat = 5, ntyp = 4
/
ATOMIC_SPECIES
Li 6.94 Li.upf
Mn 54.94 Mn.upf
Cu 63.55 Cu.upf
Te 127.60 Te.upf
ATOMIC_POSITIONS angstrom
Li 0.0000 2.5120 0.0000
Li 2.5120 0.0000 0.0000
Mn 0.0000 0.0000 2.5773
Cu 2.5120 2.5120 2.5773
Te 0.0000 0.0000 0.0000
CELL_PARAMETERS angstrom
5.0239 0.0000 0.0000
0.0000 5.0239 0.0000
0.0000 0.0000 5.1547
```

---

Relative energies, in eV/atom, with the most stable structure set to zero: entry 1 0.238; entry 2 0.000.